A relaxed structure of Mg5Zn. Source: Alexandria via LeMat-Bulk, functional GGA-PBEsol.

Unit cell a=3.146 b=3.146 c=14.666 alpha=90.00 beta=90.00 gamma=120.00
Fractional positions:
Mg 0.000 0.000 0.000
Mg 0.000 0.000 0.352
Mg 0.000 0.000 0.648
Mg 0.333 0.667 0.175
Mg 0.333 0.667 0.825
Zn 0.333 0.667 0.500

Summary:
total magnetic moment	0.0	μB/f.u.
VASP energy	-1.69	eV per atom
E_form	0.01	eV/atom
Fermi-level density of states	0.421	states/eV/atom